LaSeCl2, optimized geometry, DFT PBE; distance to the lowest polymorph of the same formula = 0.631 eV per atom; volume = 142 Å³ per cell; E_tot = -4.075 eV per atom
1.0
2.2983 0.0000 10.3327
-1.1492 1.9904 10.3327
-1.1492 -1.9904 10.3327
Se Cl La
1 2 1
direct
0.0000 0.0000 0.0000 Se
0.8888 0.8888 0.8888 Cl
0.1112 0.1112 0.1112 Cl
0.5000 0.5000 0.5000 La


PrGdGe, optimized geometry, DFT PBE; energy relative to the elements = -410 meV/atom; volume = 85 Å³ per cell; E_tot = -8.236 eV per atom
1.0
-0.4349 4.1170 -1.1188
-3.4391 0.5307 3.2900
4.5748 0.8006 1.1677
Gd Pr Ge
1 1 1
direct
0.2364 0.3333 0.6667 Gd
0.7002 0.6667 0.3333 Pr
0.0634 0.0000 0.0000 Ge


BeIr, optimized geometry, DFT PBE; energy relative to the elements = -349 meV/atom; volume = 139 Å³ per cell; E_tot = -6.643 eV per atom
1.0
-0.1024 1.4907 -2.3344
-0.9756 -10.6396 -6.7513
-3.9443 0.1792 0.2875
Be Ir
6 6
direct
0.0000 0.0000 0.9729 Be
0.0000 0.5000 0.4729 Be
0.5000 0.1657 0.1382 Be
0.5000 0.3343 0.6382 Be
0.5000 0.8343 0.1382 Be
0.5000 0.6657 0.6382 Be
0.0000 0.8288 0.6452 Ir
0.0000 0.6712 0.1452 Ir
0.5000 0.5000 0.9583 Ir
0.0000 0.3288 0.1452 Ir
0.0000 0.1712 0.6452 Ir
0.5000 0.0000 0.4583 Ir


Eu2AgRh, optimized geometry, DFT PBE; energy relative to the elements = -315 meV/atom; distance to the lowest polymorph of the same formula = 0.036 eV per atom; volume = 97 Å³ per cell; E_tot = -8.003 eV per atom
1.0
-2.5396 4.2629 -1.4088
-0.5594 1.1348 -5.0006
-4.6371 -0.3779 -2.2274
Eu Rh Ag
2 1 1
direct
0.2500 0.2500 0.2500 Eu
0.7500 0.7500 0.7500 Eu
0.0000 0.0000 0.0000 Rh
0.5000 0.5000 0.5000 Ag


CeEr3Se4, optimized geometry, DFT PBE; volume = 384 Å³ per cell; E_tot = -5.926 eV per atom
1.0
7.0508 0.0661 0.0000
-2.4093 6.6886 0.0000
0.0000 0.0000 8.1136
Er Ce Se
6 2 8
direct
0.2500 0.0000 0.6297 Er
0.2500 0.5000 0.3736 Er
0.7500 0.0000 0.3703 Er
0.7500 0.5000 0.1235 Er
0.7500 0.5000 0.6264 Er
0.2500 0.5000 0.8765 Er
0.2500 0.0000 0.1222 Ce
0.7500 0.0000 0.8778 Ce
0.4955 0.7465 0.6193 Se
0.9955 0.7465 0.3807 Se
0.9996 0.7389 0.8698 Se
0.0045 0.2535 0.6193 Se
0.0004 0.2611 0.1302 Se
0.5045 0.2535 0.3807 Se
0.4996 0.7389 0.1302 Se
0.5004 0.2611 0.8698 Se


Nd8ZnIr3Br4, optimized geometry, DFT PBE; volume = 475 Å³ per cell; E_tot = -5.529 eV per atom
1.0
-3.6921 -7.0310 2.7436
7.4479 -4.8111 -2.3068
1.0712 6.4945 5.2198
Nd Ir Zn Br
8 3 1 4
direct
0.2809 0.3023 0.0415 Nd
0.7606 0.3023 0.0415 Nd
0.2394 0.6977 0.4788 Nd
0.7327 0.6979 0.4655 Nd
0.7606 0.3023 0.5212 Nd
0.2673 0.3021 0.5345 Nd
0.7191 0.6977 0.9585 Nd
0.2394 0.6977 0.9585 Nd
0.5000 0.5000 0.0000 Ir
0.0000 0.5000 0.5000 Ir
0.5000 0.5000 0.5000 Ir
0.0000 0.5000 0.0000 Zn
0.5000 0.0000 0.0000 Br
0.0000 0.0000 0.0000 Br
0.0000 0.0000 0.5000 Br
0.5000 0.0000 0.5000 Br


ScReSe2Br, optimized geometry, DFT PBE; distance to the lowest polymorph of the same formula = 0.000 eV per atom; volume = 123 Å³ per cell; E_tot = -5.222 eV per atom
1.0
-2.4627 0.2841 -4.1869
3.3930 -2.7220 -2.1805
-2.6286 -4.2824 1.2555
Re Sc Br Se
1 1 1 2
direct
0.0000 0.0000 0.0000 Re
0.5000 0.5000 0.5000 Sc
0.0000 0.0000 0.5000 Br
0.5000 0.0000 0.0000 Se
0.0000 0.5000 0.0000 Se


Li4Mg4Cd3, optimized geometry, DFT PBE; energy relative to the elements = -144 meV/atom; volume = 220 Å³ per cell; E_tot = -1.669 eV per atom
1.0
3.0027 0.0211 0.0443
0.0355 4.8268 -0.0306
1.7230 2.3044 15.2225
Li Cd Mg
4 3 4
direct
0.9890 0.1820 0.6378 Li
0.2891 0.4550 0.0866 Li
0.0111 0.8180 0.3622 Li
0.7110 0.5450 0.9134 Li
0.0000 0.0000 0.0000 Cd
0.8786 0.3643 0.2680 Cd
0.1214 0.6358 0.7320 Cd
0.5167 0.9064 0.1830 Mg
0.6655 0.7256 0.5519 Mg
0.4833 0.0936 0.8170 Mg
0.3345 0.2744 0.4481 Mg


| no. | total moment (μB per formula unit) |
| --- | --- |
| 1 | 1.42 |
| 2 | 7.21 |
| 3 | 0.00 |
| 4 | 13.75 |
| 5 | 1.08 |
| 6 | 0.00 |
| 7 | 1.60 |
| 8 | 0.00 |